Here is crystalline HgHIr3 at its relaxed geometry from the Alexandria database. Energies are from PBE.

Cell: 4.049 4.049 4.049 Å, 90.00 90.00 90.00°
Sites, in units of the cell vectors:
1 H 0.000 0.000 0.000
2 Ir 0.000 0.500 0.000
3 Ir 0.000 0.000 0.500
4 Ir 0.500 0.000 0.000
5 Hg 0.500 0.500 0.500

Output
ρ = 19.47 g cm⁻³
V = 13.277 Å³ per atom
SG = Pm-3m, No. 221
Distance to the lowest polymorph of the same formula = 0.000 eV per atom

Here is crystalline HgHIr at its relaxed geometry from the Alexandria database. Energies are from PBE.

Cell: 7.143 10.725 10.725 Å, 83.63 70.55 70.55°
Sites, in units of the cell vectors:
1 H 0.623 0.357 0.172
2 H 0.730 0.672 0.143
3 H 0.545 0.328 0.857
4 H 0.152 0.643 0.828
5 H 0.127 0.143 0.328
6 H 0.020 0.828 0.357
7 H 0.205 0.172 0.643
8 H 0.598 0.857 0.672
9 H 0.112 0.272 0.020
10 H 0.134 0.520 0.228
11 H 0.882 0.480 0.772
12 H 0.404 0.728 0.980
13 H 0.638 0.228 0.480
14 H 0.616 0.980 0.272
15 H 0.868 0.020 0.728
16 H 0.346 0.772 0.520
17 Ir 0.850 0.368 0.052
18 Ir 0.968 0.552 0.132
19 Ir 0.652 0.448 0.868
20 Ir 0.270 0.632 0.948
21 Ir 0.900 0.132 0.448
22 Ir 0.782 0.948 0.368
23 Ir 0.098 0.052 0.632
24 Ir 0.480 0.868 0.552
25 Ir 0.396 0.446 0.133
26 Ir 0.593 0.633 0.054
27 Ir 0.279 0.367 0.946
28 Ir 0.976 0.554 0.867
29 Ir 0.354 0.054 0.367
30 Ir 0.157 0.867 0.446
31 Ir 0.471 0.133 0.554
32 Ir 0.774 0.946 0.633
33 Hg 0.861 0.376 0.326
34 Hg 0.987 0.826 0.124
35 Hg 0.937 0.174 0.876
36 Hg 0.563 0.624 0.674
37 Hg 0.889 0.124 0.174
38 Hg 0.763 0.674 0.376
39 Hg 0.813 0.326 0.624
40 Hg 0.187 0.876 0.826
41 Hg 0.333 0.621 0.326
42 Hg 0.704 0.826 0.879
43 Hg 0.409 0.174 0.121
44 Hg 0.279 0.379 0.674
45 Hg 0.417 0.879 0.174
46 Hg 0.046 0.674 0.621
47 Hg 0.341 0.326 0.379
48 Hg 0.471 0.121 0.826

Output
ρ = 14.32 g cm⁻³
V = 15.220 Å³ per atom
SG = I4_1/a, No. 88
Uncorrected energy = -3.990 eV per atom

Here is crystalline HgH2Ir2 at its relaxed geometry from the Alexandria database. Energies are from PBE.

Cell: 3.003 3.003 6.618 Å, 76.89 76.89 90.00°
Sites, in units of the cell vectors:
1 H 0.750 0.250 0.500
2 H 0.250 0.750 0.500
3 Ir 0.340 0.340 0.320
4 Ir 0.660 0.660 0.680
5 Hg 0.000 0.000 0.000

Output
ρ = 17.24 g cm⁻³
V = 11.309 Å³ per atom
SG = I4/mmm, No. 139
Uncorrected energy = -4.513 eV per atom

Here is crystalline HgHIr2 at its relaxed geometry from the Alexandria database. Energies are from PBE.

Cell: 4.354 4.354 4.354 Å, 60.00 60.00 60.00°
Sites, in units of the cell vectors:
1 H 0.000 0.000 0.000
2 Ir 0.250 0.250 0.250
3 Ir 0.750 0.750 0.750
4 Hg 0.500 0.500 0.500

Output
ρ = 16.67 g cm⁻³
V = 14.591 Å³ per atom
SG = Fm-3m, No. 225
Distance to the lowest polymorph of the same formula = 0.662 eV per atom

Here is crystalline Hg3HIr at its relaxed geometry from the Alexandria database. Energies are from PBE.

Cell: 4.351 4.351 4.351 Å, 90.00 90.00 90.00°
Sites, in units of the cell vectors:
1 H 0.000 0.000 0.000
2 Ir 0.500 0.500 0.500
3 Hg 0.000 0.500 0.000
4 Hg 0.000 0.000 0.500
5 Hg 0.500 0.000 0.000

Output
ρ = 16.03 g cm⁻³
V = 16.474 Å³ per atom
SG = Pm-3m, No. 221
Distance to the lowest polymorph of the same formula = 0.005 eV per atom

Here is crystalline HgHIr3 at its relaxed geometry from the Alexandria database. Energies are from PBE.

Cell: 5.020 5.020 5.020 Å, 90.00 90.00 90.00°
Sites, in units of the cell vectors:
1 H 0.500 0.500 0.500
2 Ir 0.000 0.500 0.000
3 Ir 0.000 0.000 0.500
4 Ir 0.500 0.000 0.000
5 Hg 0.000 0.000 0.000

Output
ρ = 10.22 g cm⁻³
V = 25.298 Å³ per atom
SG = Pm-3m, No. 221
Distance to the lowest polymorph of the same formula = 2.595 eV per atom

Here is crystalline Hg3HIr at its relaxed geometry from the Alexandria database. Energies are from PBE.

Cell: 5.283 5.283 5.283 Å, 90.00 90.00 90.00°
Sites, in units of the cell vectors:
1 H 0.500 0.500 0.500
2 Ir 0.000 0.000 0.000
3 Hg 0.000 0.500 0.000
4 Hg 0.000 0.000 0.500
5 Hg 0.500 0.000 0.000

Output
ρ = 8.96 g cm⁻³
V = 29.482 Å³ per atom
SG = Pm-3m, No. 221
Distance to the lowest polymorph of the same formula = 0.000 eV per atom

Here is crystalline HgH2Ir4 at its relaxed geometry from the Alexandria database. Energies are from PBE.

Cell: 4.880 4.880 5.796 Å, 65.11 65.11 90.00°
Sites, in units of the cell vectors:
1 H 0.552 0.552 0.896
2 H 0.448 0.448 0.104
3 Ir 0.713 0.713 0.573
4 Ir 0.287 0.287 0.427
5 Ir 0.000 0.500 0.000
6 Ir 0.500 0.000 0.000
7 Hg 0.000 0.000 0.000

Output
ρ = 14.55 g cm⁻³
V = 15.843 Å³ per atom
SG = I4/mmm, No. 139
Uncorrected energy = -4.271 eV per atom

Here is crystalline Hg2H3Ir at its relaxed geometry from the Alexandria database. Energies are from PBE.

Cell: 5.544 5.060 6.797 Å, 89.79 89.61 56.78°
Sites, in units of the cell vectors:
1 Hg 0.000 0.000 0.000
2 Hg 0.500 0.000 0.500
3 Hg 0.167 0.666 0.500
4 Hg 0.833 0.334 0.500
5 H 0.501 0.500 0.854
6 H 0.498 0.000 0.142
7 H 0.499 0.500 0.146
8 H 0.999 0.500 0.146
9 H 0.001 0.500 0.854
10 H 0.502 0.000 0.858
11 Ir 0.681 0.637 0.000
12 Ir 0.319 0.363 0.000

Output
ρ = 12.42 g cm⁻³
V = 13.293 Å³ per atom
SG = C2/m, No. 12
Uncorrected energy = -3.035 eV per atom

Here is crystalline K2HgH6Ir at its relaxed geometry from the Alexandria database. Energies are from PBE.

Cell: 6.063 5.631 5.631 Å, 120.00 90.00 90.00°
Sites, in units of the cell vectors:
1 K 0.197 0.333 0.667
2 K 0.803 0.667 0.333
3 Hg 0.500 0.000 0.000
4 H 0.860 0.149 0.299
5 H 0.860 0.149 0.851
6 H 0.860 0.701 0.851
7 H 0.140 0.851 0.149
8 H 0.140 0.299 0.149
9 H 0.140 0.851 0.701
10 Ir 0.000 0.000 0.000

Output
ρ = 4.76 g cm⁻³
V = 16.653 Å³ per atom
SG = P-3m1, No. 164
Uncorrected energy = -3.317 eV per atom

Here is crystalline La8Hg4HIr3 at its relaxed geometry from the Alexandria database. Energies are from PBE.

Cell: 8.290 9.279 8.290 Å, 116.49 120.00 90.00°
Sites, in units of the cell vectors:
1 La 0.236 0.702 0.965
2 La 0.237 0.702 0.473
3 La 0.265 0.295 0.530
4 La 0.729 0.702 0.965
5 La 0.271 0.298 0.035
6 La 0.735 0.705 0.470
7 La 0.763 0.298 0.527
8 La 0.764 0.298 0.035
9 Hg 0.500 0.000 0.000
10 Hg 0.500 0.000 0.500
11 Hg 0.000 0.000 0.000
12 Hg 0.000 0.000 0.500
13 H 0.000 0.500 0.000
14 Ir 0.500 0.500 0.000
15 Ir 0.500 0.500 0.500
16 Ir 0.000 0.500 0.500

Output
ρ = 8.74 g cm⁻³
V = 29.591 Å³ per atom
SG = C2/m, No. 12
Uncorrected energy = -4.992 eV per atom

Here is crystalline Li2HgHIr at its relaxed geometry from the Alexandria database. Energies are from PBE.

Cell: 4.103 4.103 3.657 Å, 90.00 90.00 90.00°
Sites, in units of the cell vectors:
1 H 0.000 0.000 0.000
2 Ir 0.000 0.000 0.500
3 Hg 0.500 0.500 0.500
4 Li 0.000 0.500 0.000
5 Li 0.500 0.000 0.000

Output
ρ = 11.00 g cm⁻³
V = 12.312 Å³ per atom
SG = P4/mmm, No. 123
Uncorrected energy = -3.502 eV per atom